(1)
Entry from Alexandria via LeMat-Bulk: a relaxed structure of Na2Tl2Cd2In (PBE).

Values from the calculation:
**Space group**: R-3m (166)
**Calculated formation energy**: -0.059 eV per atom

a = 5.212 Å, b = 5.212 Å, c = 8.500 Å
α = 72.15°, β = 72.15°, γ = 60.00°
Fractional coordinates of all 7 atoms:
Tl (0.576, 0.576, 0.272)
Tl (0.424, 0.424, 0.728)
Cd (0.282, 0.282, 0.155)
Cd (0.718, 0.718, 0.845)
Na (0.139, 0.139, 0.582)
Na (0.861, 0.861, 0.418)
In (0.000, 0.000, 0.000)

---

(2)
Entry from Alexandria via LeMat-Bulk: a relaxed structure of NaTmCdIn (PBE).

Values from the calculation:
**Space group**: F-43m (216)
**Calculated formation energy**: -0.199 eV per atom

a = 5.217 Å, b = 5.217 Å, c = 5.217 Å
α = 60.00°, β = 60.00°, γ = 60.00°
Fractional coordinates of all 4 atoms:
Cd (0.750, 0.750, 0.750)
Na (0.000, 0.000, 0.000)
Tm (0.500, 0.500, 0.500)
In (0.250, 0.250, 0.250)

---

(3)
Entry from Alexandria via LeMat-Bulk: a relaxed structure of NaYCdIn (PBE).

Values from the calculation:
**Space group**: F-43m (216)
**Calculated formation energy**: -0.240 eV per atom

a = 5.255 Å, b = 5.255 Å, c = 5.255 Å
α = 60.00°, β = 60.00°, γ = 60.00°
Fractional coordinates of all 4 atoms:
Na (0.250, 0.250, 0.250)
Y (0.750, 0.750, 0.750)
In (0.500, 0.500, 0.500)
Cd (0.000, 0.000, 0.000)

---

(4)
Entry from Alexandria via LeMat-Bulk: a relaxed structure of NbCdIn2 (PBE).

Values from the calculation:
**Space group**: R-3m (166)
**Calculated formation energy**: 0.421 eV per atom

a = 3.008 Å, b = 3.008 Å, c = 12.505 Å
α = 83.09°, β = 83.09°, γ = 60.00°
Fractional coordinates of all 4 atoms:
In (0.080, 0.080, 0.761)
In (0.920, 0.920, 0.239)
Nb (0.000, 0.000, 0.000)
Cd (0.500, 0.500, 0.500)